Here is crystalline Al2CuAu at its relaxed geometry from Alexandria. Energies are from GGA-PBEsol.

Properties
Total magnetization = 0.0 μB/f.u.
V = 60 Å³ per cell
DOS(E_F) = 1.60 states/eV/f.u.
E = -16.95 eV per formula unit

```
4
Lattice="-1.722 -2.097 0.832 1.356 -0.125 2.490 -4.697 4.971 2.808" Properties=species:S:1:pos:R:3 pbc="T T T"
Au -2.379 2.518 1.422
Al -4.585 4.854 2.742
Al -1.378 0.154 2.375
Cu -3.765 2.681 3.803
```